Compound: Zr2InMo
Source: Alexandria
Functional: GGA-PBEsol
Structure: relaxed

Final energy: -8.231 eV/atom
Energy of formation from the pure elements: 0.0 eV per formula unit
M_tot: 0.00 μB per cell
Space-group type: I-4m2 (119)

Cell: 5.405 5.405 5.405 Å, 134.73 134.73 65.94°
Sites, in units of the cell vectors:
1 Zr 0.000 0.000 0.000
2 Zr 0.750 0.250 0.500
3 In 0.500 0.500 0.000
4 Mo 0.250 0.750 0.500